# Ho8Hg2Rh

A relaxed structure of Ho8Hg2Rh (PBE, Alexandria).

Properties
Formation energy from the elements   -0.336 eV per atom
Spin magnetization   0.0 μB per formula unit
Electronic total energy   -4.389 eV/atom
D(E_F)   8.01 states/eV/cell

a b c (Å): 9.159 9.159 6.817
angles (deg): 106.53 106.53 33.13
Positions (direct):
Ho (0.024, 0.024, 0.283)
Ho (0.199, 0.199, 0.803)
Ho (0.347, 0.347, 0.542)
Ho (0.412, 0.412, 0.070)
Ho (0.588, 0.588, 0.930)
Ho (0.653, 0.653, 0.458)
Ho (0.801, 0.801, 0.197)
Ho (0.976, 0.976, 0.717)
Hg (0.187, 0.187, 0.223)
Hg (0.813, 0.813, 0.777)
Rh (0.500, 0.500, 0.500)